A plane-wave DFT calculation with PBE with a Hubbard U was carried out for a relaxed structure of MnHgAuO2.

Calculated values
Total energy   -4.580 eV/atom
Size of the total moment   3.269 μB/f.u.
Volume   17.49 A^3/atom

Cell: 3.811 3.811 6.021 Å, 90.00 90.00 90.00°
Fractional positions:
Mn1 0.000 0.000 0.000
Hg1 0.500 0.500 0.500
Au1 0.000 0.000 0.500
O1 0.000 0.500 0.000
O2 0.500 0.000 0.000